[1]
This record from the Alexandria database describes a relaxed structure of ZnBP2O. The functional is PBE.

Structure (extended XYZ):
```
5
Lattice="5.251 0.000 0.000 0.000 5.251 0.000 0.000 0.000 2.590" Properties=species:S:1:pos:R:3 pbc="T T T"
Zn 0.000 0.000 0.000
B 2.625 2.625 1.295
P 0.000 2.625 1.295
P 2.625 0.000 1.295
O 2.625 2.625 0.000
```

Summary:
electronic total energy	-4.66	eV/atom
D(E_F)	2.993	states/eV per cell
formation energy from raw total energies	8.19	kJ/mol of atoms
ρ	3.6	g cm⁻³

[2]
This record from the Alexandria database describes a relaxed structure of CuIrW2. The functional is PBE.

Structure (extended XYZ):
```
8
Lattice="3.776 0.000 0.000 0.000 3.813 0.000 0.000 0.000 8.192" Properties=species:S:1:pos:R:3 pbc="T T T"
Cu 0.000 0.000 0.000
Cu 1.888 1.907 4.096
Ir 0.000 0.000 4.096
Ir 1.888 1.907 0.000
W 0.000 1.907 2.051
W 0.000 1.907 6.141
W 1.888 0.000 2.045
W 1.888 0.000 6.147
```

Summary:
electronic total energy	-9.57	eV/atom
D(E_F)	10.599	states/eV per cell
energy of formation	13.9	kJ/mol of atoms
ρ	17.6	g cm⁻³

[3]
This record from the Alexandria database describes a relaxed structure of Ta5VOs4. The functional is PBE.

Structure (extended XYZ):
```
10
Lattice="3.122 0.000 0.000 0.000 3.122 0.000 0.000 0.000 16.570" Properties=species:S:1:pos:R:3 pbc="T T T"
Ta 0.000 0.000 0.000
Ta 0.000 0.000 3.393
Ta 0.000 0.000 6.730
Ta 0.000 0.000 9.840
Ta 0.000 0.000 13.177
V 1.561 1.561 8.285
Os 1.561 1.561 1.818
Os 1.561 1.561 5.044
Os 1.561 1.561 11.526
Os 1.561 1.561 14.752
```

Summary:
electronic total energy	-11.59	eV/atom
D(E_F)	6.419	states/eV per cell
energy of formation	-25.5	kJ/mol of atoms
ρ	17.6	g cm⁻³

[4]
This record from the Alexandria database describes a relaxed structure of AsPdBr2Cl. The functional is PBE.

Structure (extended XYZ):
```
5
Lattice="5.126 0.000 0.000 0.000 5.126 0.000 0.000 0.000 4.905" Properties=species:S:1:pos:R:3 pbc="T T T"
As 0.000 0.000 0.000
Pd 0.000 0.000 2.452
Br 0.000 2.563 2.452
Br 2.563 0.000 2.452
Cl 2.563 2.563 0.000
```

Summary:
electronic total energy	-2.75	eV/atom
D(E_F)	5.768	states/eV per cell
formation energy from raw total energies	24.97	kJ/mol of atoms
ρ	4.9	g cm⁻³

[5]
This record from the Alexandria database describes a relaxed structure of BiPbCl6. The functional is PBE.

Structure (extended XYZ):
```
8
Lattice="3.413 1.971 6.271 -3.413 1.971 6.271 0.000 -3.941 6.271" Properties=species:S:1:pos:R:3 pbc="T T T"
Bi 0.000 0.000 0.000
Pb 0.000 0.000 9.406
Cl -1.093 -1.990 7.823
Cl -2.270 -0.048 10.990
Cl -1.177 1.942 7.823
Cl 1.177 -1.942 10.990
Cl 2.270 0.048 7.823
Cl 1.093 1.990 10.990
```

Summary:
electronic total energy	-3.18	eV/atom
D(E_F)	5.069	states/eV per cell
formation energy from raw total energies	-81.77	kJ/mol of atoms
ρ	4.1	g cm⁻³

[6]
This record from the Alexandria database describes a relaxed structure of LaPuGaPd. The functional is PBE.

Structure (extended XYZ):
```
16
Lattice="7.309 0.000 0.000 0.000 7.309 0.000 0.000 0.000 7.309" Properties=species:S:1:pos:R:3 pbc="T T T"
La 0.000 0.000 0.000
La 0.000 3.655 3.655
La 3.655 0.000 3.655
La 3.655 3.655 0.000
Pu 0.000 0.000 3.655
Pu 0.000 3.655 0.000
Pu 3.655 0.000 0.000
Pu 3.655 3.655 3.655
Ga 1.827 1.827 5.482
Ga 1.827 5.482 1.827
Ga 5.482 1.827 1.827
Ga 5.482 5.482 5.482
Pd 1.827 1.827 1.827
Pd 1.827 5.482 5.482
Pd 5.482 1.827 5.482
Pd 5.482 5.482 1.827
```

Summary:
electronic total energy	-7.28	eV/atom
D(E_F)	45.110	states/eV per cell
energy of formation	-40.0	kJ/mol of atoms
ρ	9.5	g cm⁻³

electronic total energy of number 4 (AsPdBr2Cl)?
-2.75 eV/atom

Among the records above, which one has the highest electronic total energy?
AsPdBr2Cl

Number 6 is which compound?
LaPuGaPd

D(E_F) of number 2 (CuIrW2)?
10.599 states/eV per cell